DFT (PBE) results for a geometry-optimized RbPr6C2I12 structure.

Calculated values
Formation energy (no corrections), eV per atom: -1.288
Spin magnetization, μB per formula unit: 1.015
E, eV per cell: -93.747

The structure in CIF format:
```
data_RbPr6C2I12
_space_group_name_H-M_alt 'P -1'
_space_group_IT_number 2
_space_group_name_Hall '-P 1'
_cell_length_a 9.773
_cell_length_b 9.797
_cell_length_c 10.277
_cell_angle_alpha 71.14
_cell_angle_beta 72.27
_cell_angle_gamma 72.96
loop_
_atom_site_label
_atom_site_type_symbol
_atom_site_fract_x
_atom_site_fract_y
_atom_site_fract_z
Rb1 Rb 0.000 0.000 0.000
Pr1 Pr 0.232 0.590 0.474
Pr2 Pr 0.391 0.526 0.805
Pr3 Pr 0.467 0.230 0.590
C1 C 0.476 0.506 0.570
I1 I 0.066 0.651 0.776
I2 I 0.132 0.282 0.569
I3 I 0.221 0.927 0.351
I4 I 0.279 0.586 0.142
I5 I 0.337 0.202 0.920
I6 I 0.430 0.865 0.707
```

---

DFT (PBE) results for a geometry-optimized Pr6Rh2CI3 structure.

Calculated values
Formation energy (no corrections), eV per atom: -0.792
Spin magnetization, μB per formula unit: 0.000
E, eV per cell: -133.520

The structure in CIF format:
```
data_Pr6Rh2CI3
_space_group_name_H-M_alt 'C 1 2/m 1'
_space_group_IT_number 12
_space_group_name_Hall '-C 2y'
_cell_length_a 7.204
_cell_length_b 12.452
_cell_length_c 8.401
_cell_angle_alpha 90.00
_cell_angle_beta 106.48
_cell_angle_gamma 90.00
loop_
_atom_site_label
_atom_site_type_symbol
_atom_site_fract_x
_atom_site_fract_y
_atom_site_fract_z
Pr1 Pr 0.214 0.156 0.178
Pr2 Pr 0.247 0.500 0.179
Rh1 Rh 0.000 0.333 0.000
C1 C 0.000 0.000 0.000
I1 I 0.000 0.167 0.500
I2 I 0.000 0.500 0.500
```